InFeCoO4 after structural relaxation. Source: the Alexandria database, functional GGA+U.

The electronic total energy comes out at -6.12 eV per atom. For the total magnetization, the calculation gives 16.1 μB per cell. Its symmetry is Imma (74).

a = 6.234 Å, b = 6.234 Å, c = 6.234 Å
α = 120.89°, β = 119.27°, γ = 89.86°
Sites, in units of the cell vectors:
In: 0.000 0.000 0.000
In: 0.500 0.000 0.500
Fe: 0.500 0.000 0.000
Fe: 0.500 0.500 0.500
Co: 0.126 0.376 0.750
Co: 0.874 0.624 0.250
O: 0.266 0.259 0.493
O: 0.266 0.774 0.007
O: 0.274 0.249 0.026
O: 0.277 0.751 0.526
O: 0.723 0.249 0.474
O: 0.726 0.751 0.974
O: 0.734 0.226 0.993
O: 0.734 0.741 0.507